This record from the Alexandria database describes crystalline Ce3GaHg at its relaxed geometry. The functional is PBE.

Cell: 8.7870 8.9940 6.5511 Å, 90.00 90.00 90.00°
Last column: nearest neighbours and their distance in Å.
Fractional coordinates of all 20 atoms:
Ce 0.0000 0.0000 0.7446  4 Ce 3.20-3.56, 2 Ga 3.41, 2 Hg 3.54
Ce 0.8963 0.6180 0.7861  2 Ce 2.80, 1 Hg 3.08, 1 Ga 3.09
Ce 0.5000 0.5000 0.7554  4 Ce 3.20-3.56, 2 Ga 3.41, 2 Hg 3.54
Ce 0.6037 0.1180 0.7139  2 Ce 2.80, 1 Hg 3.08, 1 Ga 3.09
Ce 0.1037 0.3820 0.2139  2 Ce 2.80, 1 Hg 3.08, 1 Ga 3.09
Ce 0.8963 0.6180 0.2139  2 Ce 2.80, 1 Hg 3.08, 1 Ga 3.09
Ce 0.3963 0.8820 0.7139  2 Ce 2.80, 1 Hg 3.08, 1 Ga 3.09
Ce 0.3963 0.8820 0.2861  2 Ce 2.80, 1 Hg 3.08, 1 Ga 3.09
Ce 0.6037 0.1180 0.2861  2 Ce 2.80, 1 Hg 3.08, 1 Ga 3.09
Ce 0.0000 0.0000 0.2554  4 Ce 3.20-3.56, 2 Ga 3.41, 2 Hg 3.54
Ce 0.1037 0.3820 0.7861  2 Ce 2.80, 1 Hg 3.08, 1 Ga 3.09
Ce 0.5000 0.5000 0.2446  4 Ce 3.20-3.56, 2 Ga 3.41, 2 Hg 3.54
Ga 0.7099 0.8212 0.5000  8 Ce 3.09-3.41, 2 Hg 3.29
Ga 0.2099 0.6788 0.0000  8 Ce 3.09-3.41, 2 Hg 3.29
Ga 0.2901 0.1788 0.5000  8 Ce 3.09-3.41, 2 Hg 3.29
Ga 0.7901 0.3212 0.0000  8 Ce 3.09-3.41, 2 Hg 3.29
Hg 0.8166 0.3418 0.5000  6 Ce 3.08-3.19, 2 Ga 3.29
Hg 0.3166 0.1582 0.0000  6 Ce 3.08-3.19, 2 Ga 3.29
Hg 0.6834 0.8418 0.0000  6 Ce 3.08-3.19, 2 Ga 3.29
Hg 0.1834 0.6582 0.5000  6 Ce 3.08-3.19, 2 Ga 3.29

## Properties
For the magnetization, the calculation gives 7.4 μB/cell. The space group is Pnnm, No. 58. Its energy relative to the elements is -0.225 eV/atom. For the total energy, the calculation gives -0.3271 Ry/atom. The calculation puts the density at 8.861 g cm⁻³.



This record from the Alexandria database describes crystalline Ce2GaHg3 at its relaxed geometry. The functional is PBE.

Cell: 3.4967 4.9366 8.5513 Å, 90.00 90.00 90.00°
Last column: nearest neighbours and their distance in Å.
Fractional coordinates of all 6 atoms:
Hg 0.5000 0.0000 0.1730  2 Ga 2.83, 1 Hg 2.90
Hg 0.5000 0.5000 0.6588  1 Ga 2.78, 2 Hg 2.88
Hg 0.5000 0.0000 0.8333  3 Hg 2.88-2.90
Ce 0.0000 0.0000 0.4939  8 Hg 3.25-3.39, 4 Ga 3.32, 2 Ce 3.50
Ce 0.0000 0.5000 0.0072  2 Ga 3.29, 10 Hg 3.34-3.45, 2 Ce 3.50
Ga 0.5000 0.5000 0.3338  3 Hg 2.78-2.83

## Properties
For the magnetization, the calculation gives 2.4 μB/cell. The space group is Pmm2, No. 25. Its energy relative to the elements is -0.375 eV/atom. For the total energy, the calculation gives -0.2211 Ry/atom. The calculation puts the density at 10.706 g cm⁻³.



This record from the Alexandria database describes crystalline Ce4Ga2Hg5 at its relaxed geometry. The functional is PBE.

Cell: 3.4048 8.1997 10.0755 Å, 95.78 90.00 90.00°
Last column: nearest neighbours and their distance in Å.
Fractional coordinates of all 11 atoms:
Ce 0.5000 0.7361 0.5553  4 Ga 3.13-3.15, 6 Hg 3.31-3.38, 2 Ce 3.40
Ce 0.5000 0.1746 0.8732  2 Ga 3.09, 8 Hg 3.31-3.44, 2 Ce 3.40
Ce 0.5000 0.8254 0.1268  2 Ga 3.09, 8 Hg 3.31-3.44, 2 Ce 3.40
Ce 0.5000 0.2639 0.4447  4 Ga 3.13-3.15, 6 Hg 3.31-3.38, 2 Ce 3.40
Hg 0.0000 0.1727 0.1571  1 Ga 3.02, 2 Hg 3.25-3.30, 4 Ce 3.31-3.33
Hg 0.0000 0.8273 0.8429  1 Ga 3.02, 2 Hg 3.25-3.30, 4 Ce 3.31-3.33
Hg 0.0000 0.5518 0.3014  2 Hg 3.02-3.30, 1 Ga 3.23, 4 Ce 3.31-3.35
Hg 0.0000 0.4482 0.6986  2 Hg 3.02-3.30, 1 Ga 3.23, 4 Ce 3.31-3.35
Hg 0.0000 0.5000 0.0000  4 Hg 3.02-3.25, 4 Ce 3.31
Ga 0.0000 0.9442 0.3736  1 Ga 2.62
Ga 0.0000 0.0558 0.6264  1 Ga 2.62

## Properties
For the magnetization, the calculation gives 4.2 μB/cell. The space group is P2/m, No. 10. Its energy relative to the elements is -0.330 eV/atom. For the total energy, the calculation gives -0.2334 Ry/atom. The calculation puts the density at 10.104 g cm⁻³.



This record from the Alexandria database describes crystalline CeGaHg at its relaxed geometry. The functional is PBE.

Cell: 8.1216 8.1216 5.7558 Å, 90.00 90.00 156.71°
Last column: nearest neighbours and their distance in Å.
Fractional coordinates of all 6 atoms:
Ce 0.6417 0.3583 0.7500  4 Ga 3.14, 5 Hg 3.15-3.32, 2 Ce 3.28
Ce 0.3583 0.6417 0.2500  4 Ga 3.14, 5 Hg 3.15-3.32, 2 Ce 3.28
Hg 0.1601 0.8399 0.2500  2 Ga 2.92, 1 Ce 3.15
Hg 0.8399 0.1601 0.7500  2 Ga 2.92, 1 Ce 3.15
Ga 0.0000 0.0000 0.0000  2 Ga 2.88, 2 Hg 2.92, 4 Ce 3.14
Ga 0.0000 0.0000 0.5000  2 Ga 2.88, 2 Hg 2.92, 4 Ce 3.14

## Properties
For the magnetization, the calculation gives 2.0 μB/cell. The space group is Cmcm, No. 63. Its energy relative to the elements is -0.248 eV/atom. For the total energy, the calculation gives -0.2452 Ry/atom. The calculation puts the density at 9.080 g cm⁻³.